Compound: Lu2Hf4C3S3
Source: OQMD
Functional: PBE
Structure: relaxed

Cell lengths 10.3265, 5.9633, 12.6837 Å; angles 90.00, 105.73, 90.00 degrees
Space group C2/c (No. 15)
Inequivalent atoms, fractional coordinates:
Lu: 0.0457 0.0815 0.3935 x8
Hf: 0.1161 0.4126 0.5981 x8
Hf: 0.2192 0.4189 0.9019 x8
C: 0.0866 0.2597 0.0000 x8
C: 0.2500 0.2500 0.5000 x4
S: 0.0000 0.4286 0.2500 x4
S: 0.1731 0.0891 0.7509 x8

Computed properties:
Uncorrected energy = -8.737 eV per atom